1.
LiH2O: relaxed, GGA-PBE.

a b c (Å): 3.1459 3.1459 3.1459
angles (deg): 60.00 60.00 60.00
Last column: nearest neighbours and their distance in Å.
Element x y z (fractional)
H: 0.2500 0.2500 0.2500  4 O 1.93, 4 Li 1.93
H: 0.7500 0.7500 0.7500  4 Li 1.93, 4 O 1.93
O: 0.5000 0.5000 0.5000  8 H 1.93
Li: 0.0000 0.0000 0.0000  8 H 1.93

Properties
* total DFT energy (no corrections): -3.220 eV per atom
* polymorph energy (0 for the lowest one): 751 meV per atom

2.
LiH3O3: relaxed, GGA-PBE.

a b c (Å): 4.2490 5.5471 5.5471
angles (deg): 120.00 90.00 90.00
Last column: nearest neighbours and their distance in Å.
Element x y z (fractional)
Li: 0.2500 0.6667 0.3333  3 O 1.92
Li: 0.7500 0.3333 0.6667  3 O 1.92
H: 0.7500 0.8940 0.7490  1 O 0.99
H: 0.7500 0.8550 0.1060  1 O 0.99
H: 0.2500 0.7490 0.8550  1 O 0.99
H: 0.7500 0.2510 0.1450  1 O 0.99
H: 0.2500 0.1450 0.8940  1 O 0.99
H: 0.2500 0.1060 0.2510  1 O 0.99
O: 0.7500 0.6976 0.7042  1 H 0.99
O: 0.7500 0.0067 0.3024  1 H 0.99
O: 0.2500 0.7042 0.0067  1 H 0.99
O: 0.7500 0.2958 0.9933  1 H 0.99
O: 0.2500 0.9933 0.6976  1 H 0.99
O: 0.2500 0.3024 0.2958  1 H 0.99

Properties
* total DFT energy (no corrections): -4.499 eV per atom